This record from the Alexandria database describes CsCd2Mo2 after structural relaxation. The functional is PBE.

Geometry as POSCAR:
```
CsCd2Mo2
1.0
-2.759 2.759 4.702
2.759 -2.759 4.702
2.759 2.759 -4.702
Cs Cd Mo
1 2 2
Direct
0.000 0.000 0.000
0.250 0.750 0.500
0.750 0.250 0.500
0.390 0.390 0.000
0.610 0.610 0.000
```

## Properties
**SG**: I4/mmm, No. 139
**ΔE_f**: 0.968 eV/atom